# BeRe4

Crystalline BeRe4 at its relaxed geometry (PBE, Alexandria via LeMat-Bulk).

Values from the calculation:
D(E_F)	0.660	states/eV/atom
ΔE to the lowest computed polymorph	0.000	eV per atom
space group	I4/m (87)

```
BeRe4
1.0
-3.056 3.056 1.895
3.056 -3.056 1.895
3.056 3.056 -1.895
Be Re
1 4
Cartesian
0.000 0.000 0.000
-0.550 1.792 1.895
1.792 0.550 1.895
3.607 1.264 0.000
1.264 2.506 0.000
```

---

# Re2SiAsIr

Crystalline Re2SiAsIr at its relaxed geometry (PBE, Alexandria via LeMat-Bulk).

Values from the calculation:
E_form (uncorrected)	1.6749	eV/atom
D(E_F)	1.234	states/eV/atom
space group	P4/mmm (123)

```
Re2SiAsIr
1.0
4.824 0.000 0.000
0.000 4.406 0.000
0.000 0.000 4.824
Re Si As Ir
2 1 1 1
Cartesian
2.412 0.000 0.000
0.000 0.000 2.412
0.000 2.203 0.000
2.412 2.203 2.412
0.000 0.000 0.000
```

---

# Be2ReSe

Crystalline Be2ReSe at its relaxed geometry (PBE, Alexandria via LeMat-Bulk).

Values from the calculation:
E_form (uncorrected)	0.4340	eV/atom
D(E_F)	0.436	states/eV/atom
space group	I-4m2 (119)

```
Be2ReSe
1.0
-2.820 2.219 -3.313
1.350 0.174 -4.690
-0.424 -3.283 3.590
Be Se Re
2 1 1
Cartesian
0.096 -0.956 -2.551
0.000 0.000 0.000
-1.989 0.066 -1.862
-0.735 1.196 -4.001
```

---

# BeFe3Cu

Crystalline BeFe3Cu at its relaxed geometry (PBE, Alexandria via LeMat-Bulk).

Values from the calculation:
D(E_F)	1.343	states/eV/atom
ΔE to the lowest computed polymorph	0.778	eV per atom
space group	Pm-3m (221)

```
BeFe3Cu
1.0
4.316 0.000 0.000
0.000 4.316 0.000
0.000 0.000 4.316
Cu Be Fe
1 1 3
Cartesian
0.000 0.000 0.000
2.158 2.158 2.158
0.000 2.158 0.000
0.000 0.000 2.158
2.158 0.000 0.000
```

---

# CeTm2Zn2Ga2

Crystalline CeTm2Zn2Ga2 at its relaxed geometry (PBE, Alexandria via LeMat-Bulk).

Values from the calculation:
E_tot	-3.710	eV per atom
D(E_F)	1.101	states/eV/atom
space group	R-3m (166)

```
CeTm2Zn2Ga2
1.0
4.449 0.000 0.000
2.225 3.853 0.000
2.225 1.284 9.147
Zn Tm Ce Ga
2 2 1 2
Cartesian
4.449 2.569 7.265
4.449 2.569 1.882
6.674 3.853 3.514
2.225 1.284 5.633
0.000 0.000 0.000
2.225 1.284 2.085
6.674 3.853 7.062
```

---

# TaP2Au

Crystalline TaP2Au at its relaxed geometry (PBE, Alexandria via LeMat-Bulk).

Values from the calculation:
D(E_F)	0.627	states/eV/atom
ΔE to the lowest computed polymorph	0.659	eV per atom
space group	F-43m (216)

```
TaP2Au
1.0
4.537 0.000 0.000
2.268 3.929 0.000
2.268 1.310 3.704
Au P Ta
1 2 1
Cartesian
4.537 2.619 1.852
0.000 0.000 0.000
2.268 1.310 0.926
6.805 3.929 2.778
```